Record 1
The following is a GGA-PBE calculation of a relaxed structure of La3Y6HoTh2, from Alexandria via LeMat-Bulk.

The structure in POSCAR format:
```
La3Y6HoTh2
1.0
3.1293 -5.4185 0.0000
3.1293 5.4185 0.0000
-2.0894 0.0000 11.7160
La Y Ho Th
3 6 1 2
Direct
0.0000 0.0000 0.0000
0.3341 0.6659 0.0000
0.6659 0.3341 0.0000
0.0820 0.4190 0.2570
0.2441 0.2441 0.7432
0.4190 0.0820 0.2570
0.5810 0.9180 0.7430
0.7559 0.7559 0.2568
0.9180 0.5810 0.7430
0.5000 0.5000 0.5000
0.1666 0.8334 0.5000
0.8334 0.1666 0.5000
```

Values from the calculation:
E = -6.065 eV/atom
Energy of formation from the pure elements = 0.017 eV per atom
Mass density = 6.600 g cm⁻³
Space-group type = C2/m

---

Record 2
The following is a GGA-PBE calculation of a relaxed structure of PmPu2Co, from Alexandria via LeMat-Bulk.

The structure in POSCAR format:
```
PmPu2Co
1.0
3.6657 0.0000 0.0000
-1.8328 3.1746 0.0000
0.0000 0.0000 26.9244
Pm Pu Co
3 6 3
Direct
0.0000 0.0000 0.0000
0.3333 0.6667 0.6667
0.6667 0.3333 0.3333
0.0000 0.0000 0.2252
0.0000 0.0000 0.7748
0.3333 0.6667 0.4414
0.3333 0.6667 0.8919
0.6667 0.3333 0.1081
0.6667 0.3333 0.5586
0.0000 0.0000 0.5000
0.3333 0.6667 0.1667
0.6667 0.3333 0.8333
```

Values from the calculation:
E = -9.959 eV/atom
Energy of formation from the pure elements = 0.172 eV per atom
Mass density = 11.001 g cm⁻³
Space-group type = R-3m
Energy relative to the lowest polymorph listed for this composition = 3.9 kJ per mole of atoms

---

Record 3
The following is a GGA-PBE calculation of a relaxed structure of KInAgSe2, from Alexandria via LeMat-Bulk.

The structure in POSCAR format:
```
KInAgSe2
1.0
3.4207 -7.2633 0.0000
3.4207 7.2633 0.0000
0.0000 0.0000 5.9973
K In Ag Se
2 2 2 4
Direct
0.2500 0.7500 0.7651
0.7500 0.2500 0.2349
0.2500 0.2500 0.5000
0.7500 0.7500 0.5000
0.0000 0.0000 0.0000
0.5000 0.5000 0.0000
0.1326 0.8674 0.2703
0.3674 0.6326 0.2703
0.6326 0.3674 0.7297
0.8674 0.1326 0.7297
```

Values from the calculation:
E = -3.236 eV/atom
Mass density = 4.677 g cm⁻³
Space-group type = Cmme

---

Record 4
The following is a GGA-PBE calculation of a relaxed structure of MgCo2W, from Alexandria via LeMat-Bulk.

The structure in POSCAR format:
```
MgCo2W
1.0
2.6697 0.0000 0.0000
0.0000 4.0422 0.0000
0.0000 0.0000 5.0165
Mg Co W
1 2 1
Direct
0.0000 0.0000 0.0000
0.0000 0.0000 0.5092
0.5000 0.5000 0.8129
0.5000 0.5000 0.3222
```

Values from the calculation:
E = -6.886 eV/atom
Energy of formation from the pure elements = 0.304 eV per atom
Mass density = 10.000 g cm⁻³
Space-group type = Pmm2

---

Record 5
The following is a GGA-PBE calculation of a relaxed structure of UNi6B2, from Alexandria via LeMat-Bulk.

The structure in POSCAR format:
```
UNi6B2
1.0
3.5743 0.0000 0.0000
0.0000 3.5743 0.0000
0.0000 0.0000 7.7926
U Ni B
1 6 2
Direct
0.0000 0.0000 0.0000
0.0000 0.0000 0.5000
0.0000 0.5000 0.2708
0.0000 0.5000 0.7292
0.5000 0.0000 0.2708
0.5000 0.0000 0.7292
0.5000 0.5000 0.5000
0.5000 0.5000 0.1202
0.5000 0.5000 0.8798
```

Values from the calculation:
E = -6.795 eV/atom
Energy of formation from the pure elements = -0.203 eV per atom
Mass density = 10.205 g cm⁻³
Space-group type = P4/mmm

---

Record 6
The following is a GGA-PBE calculation of a relaxed structure of ScSi2Rh, from Alexandria via LeMat-Bulk.

The structure in POSCAR format:
```
ScSi2Rh
1.0
6.3441 0.0000 0.0000
0.0000 4.0338 0.0000
0.0000 0.0000 9.5706
Sc Si Rh
4 8 4
Direct
0.2395 0.2500 0.1827
0.2605 0.7500 0.6827
0.7395 0.2500 0.3173
0.7605 0.7500 0.8173
0.0436 0.7500 0.3415
0.2309 0.2500 0.4722
0.2691 0.7500 0.9722
0.4564 0.2500 0.8415
0.5436 0.7500 0.1585
0.7309 0.2500 0.0278
0.7691 0.7500 0.5278
0.9564 0.2500 0.6585
0.0838 0.2500 0.9010
0.4162 0.7500 0.4010
0.5838 0.2500 0.5990
0.9162 0.7500 0.0990
```

Values from the calculation:
E = -7.054 eV/atom
Mass density = 5.533 g cm⁻³
Space-group type = Pnma

---

Record 7
The following is a GGA-PBE calculation of a relaxed structure of In2SnPd4, from Alexandria via LeMat-Bulk.

The structure in POSCAR format:
```
In2SnPd4
1.0
4.0443 -5.1805 0.0000
4.0443 5.1805 0.0000
-4.0349 0.0000 6.6003
In Sn Pd
4 2 8
Direct
0.0000 0.0000 0.0000
0.0000 0.0000 0.5000
0.0000 0.5000 0.0000
0.5000 0.0000 0.5000
0.3749 0.6251 0.7500
0.6251 0.3749 0.2500
0.0956 0.6154 0.3949
0.2795 0.2992 0.8944
0.2992 0.2795 0.3944
0.3846 0.9044 0.1051
0.6154 0.0956 0.8949
0.7008 0.7205 0.6056
0.7205 0.7008 0.1056
0.9044 0.3846 0.6051
```

Values from the calculation:
E = -4.679 eV/atom
Energy of formation from the pure elements = -0.357 eV per atom
Mass density = 9.294 g cm⁻³
Space-group type = C2/c

---

Record 8
The following is a GGA-PBE calculation of a relaxed structure of Hf2ZnBS, from Alexandria via LeMat-Bulk.

The structure in POSCAR format:
```
Hf2ZnBS
1.0
4.7040 0.0000 0.0000
0.0000 4.7040 0.0000
0.0000 0.0000 4.2770
Hf Zn B S
2 1 1 1
Direct
0.0000 0.5000 0.0000
0.5000 0.0000 0.0000
0.0000 0.0000 0.5000
0.5000 0.5000 0.5000
0.0000 0.0000 0.0000
```

Values from the calculation:
E = -5.712 eV/atom
Mass density = 8.164 g cm⁻³
Space-group type = P4/mmm

---

Record 9
The following is a GGA-PBE calculation of a relaxed structure of Tb4Al3In, from Alexandria via LeMat-Bulk.

The structure in POSCAR format:
```
Tb4Al3In
1.0
3.6245 0.0000 0.0000
0.0000 3.6245 0.0000
0.0000 0.0000 14.8976
Tb Al In
4 3 1
Direct
0.0000 0.0000 0.1204
0.0000 0.0000 0.3644
0.0000 0.0000 0.6356
0.0000 0.0000 0.8796
0.5000 0.5000 0.0000
0.5000 0.5000 0.2425
0.5000 0.5000 0.7575
0.5000 0.5000 0.5000
```

Values from the calculation:
E = -4.475 eV/atom
Energy of formation from the pure elements = -0.414 eV per atom
Mass density = 7.055 g cm⁻³
Space-group type = P4/mmm
Energy relative to the lowest polymorph listed for this composition = 0.0 kJ per mole of atoms

---

Record 10
The following is a GGA-PBE calculation of a relaxed structure of NbBr3, from Alexandria via LeMat-Bulk.

The structure in POSCAR format:
```
NbBr3
1.0
3.3453 0.0000 0.0000
-1.6726 2.8971 0.0000
0.0000 0.0000 33.1816
Nb Br
3 9
Direct
0.0000 0.0000 0.0000
0.3333 0.6667 0.6667
0.6667 0.3333 0.3333
0.0000 0.0000 0.3895
0.0000 0.0000 0.5000
0.0000 0.0000 0.6105
0.3333 0.6667 0.0561
0.3333 0.6667 0.1667
0.3333 0.6667 0.2772
0.6667 0.3333 0.7228
0.6667 0.3333 0.8333
0.6667 0.3333 0.9439
```

Values from the calculation:
E = -4.143 eV/atom
Mass density = 5.153 g cm⁻³
Space-group type = R-3m

---

Record 11
The following is a GGA-PBE calculation of a relaxed structure of Tb6Te2AuSe3, from Alexandria via LeMat-Bulk.

The structure in POSCAR format:
```
Tb6Te2AuSe3
1.0
3.6643 -6.3299 0.0000
3.6643 6.3299 0.0000
-2.4388 0.0000 6.8553
Tb Te Au Se
6 2 1 3
Direct
0.0847 0.4029 0.7584
0.2276 0.2276 0.2339
0.4029 0.0847 0.7584
0.5971 0.9153 0.2416
0.7724 0.7724 0.7661
0.9153 0.5971 0.2416
0.3359 0.6641 0.5000
0.6641 0.3359 0.5000
0.0000 0.0000 0.5000
0.1758 0.8242 0.0000
0.5000 0.5000 0.0000
0.8242 0.1758 0.0000
```

Values from the calculation:
E = -5.453 eV/atom
Mass density = 8.577 g cm⁻³
Space-group type = C2/m

---

Record 12
The following is a GGA-PBE calculation of a relaxed structure of Pr2ScGa, from Alexandria via LeMat-Bulk.

The structure in POSCAR format:
```
Pr2ScGa
1.0
3.4669 0.0000 0.0000
-1.7334 3.0024 0.0000
0.0000 0.0000 35.2404
Pr Sc Ga
6 3 3
Direct
0.0000 0.0000 0.0883
0.0000 0.0000 0.9117
0.3333 0.6667 0.5784
0.3333 0.6667 0.7549
0.6667 0.3333 0.2451
0.6667 0.3333 0.4216
0.0000 0.0000 0.5000
0.3333 0.6667 0.1667
0.6667 0.3333 0.8333
0.0000 0.0000 0.0000
0.3333 0.6667 0.6667
0.6667 0.3333 0.3333
```

Values from the calculation:
E = -4.558 eV/atom
Energy of formation from the pure elements = 0.171 eV per atom
Mass density = 5.385 g cm⁻³
Space-group type = R-3m
Energy relative to the lowest polymorph listed for this composition = 38.3 kJ per mole of atoms

---

Record 13
The following is a GGA-PBE calculation of a relaxed structure of Cu5Ru, from Alexandria via LeMat-Bulk.

The structure in POSCAR format:
```
Cu5Ru
1.0
9.7868 0.0000 0.0000
0.0000 2.5375 0.0000
-1.6067 0.0000 5.9760
Cu Ru
10 2
Direct
0.0000 0.0000 0.0000
0.0551 0.0000 0.6232
0.1632 0.5000 0.3399
0.2191 0.5000 0.9480
0.3298 0.0000 0.6756
0.5000 0.5000 0.0000
0.5551 0.5000 0.6232
0.6632 0.0000 0.3399
0.7191 0.0000 0.9480
0.8298 0.5000 0.6756
0.3869 0.0000 0.2836
0.8869 0.5000 0.2836
```

Values from the calculation:
E = -4.847 eV/atom
Energy of formation from the pure elements = 0.113 eV per atom
Mass density = 9.372 g cm⁻³
Space-group type = Cm
Energy relative to the lowest polymorph listed for this composition = 0.0 kJ per mole of atoms